This record from Alexandria describes an optimized crystal structure of In2RePb. The functional is PBE.

The structure belongs to space group I-4m2 (No. 119); the cell edges are 4.447, 4.447 and 8.827 Å and the angles 90.00°, 90.00° and 90.00°. Symmetry generates all atoms from In at (0.000, 0.000, 0.000), In at (0.000, 0.500, 0.250), Re at (0.000, 0.000, 0.500) and Pb at (0.000, 0.500, 0.750).

The calculation puts the offset from the most stable computed form at 361.7 meV/atom. The calculation puts the formation enthalpy at 0 K at 0.81 eV per atom.